[1]
A relaxed BaTa2Ni crystal, computed with PBE-GGA.

Lattice parameters (Å, degrees): 5.9634 5.9634 5.9634 150.12 122.91 65.77
Last column: nearest neighbours and their distance in Å.
Sites, in units of the cell vectors:
Ta: 0.7858 0.2858 0.5000  4 Ta 2.78-3.07
Ta: 0.0174 0.0174 0.0000  2 Ni 2.50, 2 Ta 2.78
Ba: 0.4825 0.4825 0.0000  2 Ba 3.07, 2 Ni 3.09, 6 Ta 3.26-3.40
Ni: 0.2144 0.7144 0.5000  2 Ta 2.50

Output
For the formation energy from the elements, the calculation gives 971 meV/atom. As for the space-group type: Imm2. For the distance to the lowest polymorph of the same formula, the calculation gives 559 meV per atom.



[2]
A relaxed Ac2PmCd crystal, computed with PBE-GGA.

Lattice parameters (Å, degrees): 3.9039 3.9039 11.7446 80.43 80.43 60.00
Last column: nearest neighbours and their distance in Å.
Sites, in units of the cell vectors:
Ac: 0.0779 0.0779 0.7662  3 Cd 3.51, 3 Pm 3.79, 6 Ac 3.90
Ac: 0.2556 0.2556 0.2332  3 Cd 3.52, 3 Pm 3.83, 6 Ac 3.90
Cd: 0.6669 0.6669 0.9992  6 Ac 3.51-3.52, 6 Cd 3.90
Pm: 0.4995 0.4995 0.5014  6 Ac 3.79-3.83, 6 Pm 3.90

Output
For the formation energy from the elements, the calculation gives -24 meV/atom. As for the space-group type: R3m. For the distance to the lowest polymorph of the same formula, the calculation gives 107 meV per atom.



[3]
A relaxed Tb15PrDy4 crystal, computed with PBE-GGA.

Lattice parameters (Å, degrees): 5.0403 5.0403 25.2208 90.00 90.00 90.00
Last column: nearest neighbours and their distance in Å.
Sites, in units of the cell vectors:
Tb: 0.5000 0.0000 0.1018  2 Dy 3.55, 8 Tb 3.56-3.60, 2 Pr 3.60
Tb: 0.0000 0.5000 0.8982  2 Dy 3.55, 8 Tb 3.56-3.60, 2 Pr 3.60
Tb: 0.5000 0.5000 0.0000  4 Pr 3.56, 8 Tb 3.60
Tb: 0.5000 0.0000 0.3009  8 Tb 3.55-3.56, 4 Dy 3.56
Tb: 0.5000 0.5000 0.5996  8 Tb 3.56, 4 Dy 3.56
Tb: 0.5000 0.0000 0.6991  8 Tb 3.55-3.56, 4 Dy 3.56
Tb: 0.0000 0.5000 0.1018  2 Dy 3.55, 8 Tb 3.56-3.60, 2 Pr 3.60
Tb: 0.0000 0.5000 0.3009  8 Tb 3.55-3.56, 4 Dy 3.56
Tb: 0.5000 0.0000 0.8982  2 Dy 3.55, 8 Tb 3.56-3.60, 2 Pr 3.60
Tb: 0.5000 0.5000 0.2017  8 Tb 3.55-3.56, 4 Dy 3.56
Tb: 0.0000 0.5000 0.5000  4 Dy 3.56, 8 Tb 3.56
Tb: 0.5000 0.5000 0.7983  8 Tb 3.55-3.56, 4 Dy 3.56
Tb: 0.0000 0.5000 0.6991  8 Tb 3.55-3.56, 4 Dy 3.56
Tb: 0.5000 0.0000 0.5000  4 Dy 3.56, 8 Tb 3.56
Tb: 0.5000 0.5000 0.4004  8 Tb 3.56, 4 Dy 3.56
Pr: 0.0000 0.0000 0.0000  12 Tb 3.56-3.60
Dy: 0.0000 0.0000 0.2012  12 Tb 3.55-3.56
Dy: 0.0000 0.0000 0.7988  12 Tb 3.55-3.56
Dy: 0.0000 0.0000 0.5995  12 Tb 3.56
Dy: 0.0000 0.0000 0.4005  12 Tb 3.56

Output
For the formation energy from the elements, the calculation gives 17 meV/atom. As for the space-group type: P4/mmm.



[4]
A relaxed Dy2GaCu4Si3 crystal, computed with PBE-GGA.

Lattice parameters (Å, degrees): 3.9930 3.9930 10.0862 90.00 90.00 90.00
Last column: nearest neighbours and their distance in Å.
Sites, in units of the cell vectors:
Cu: 0.5000 0.5000 0.0000  4 Si 2.39
Cu: 0.0000 0.5000 0.3605  3 Si 2.32-2.44, 2 Ga 2.44
Cu: 0.5000 0.0000 0.6395  3 Si 2.32-2.44, 2 Ga 2.44
Cu: 0.0000 0.0000 0.0000  4 Si 2.39
Si: 0.0000 0.0000 0.5000  4 Cu 2.44
Si: 0.5000 0.0000 0.8694  5 Cu 2.32-2.39
Si: 0.0000 0.5000 0.1306  5 Cu 2.32-2.39
Ga: 0.5000 0.5000 0.5000  4 Cu 2.44
Dy: 0.5000 0.0000 0.2423  6 Si 3.04-3.28, 8 Cu 3.06-3.16, 2 Ga 3.28
Dy: 0.0000 0.5000 0.7577  6 Si 3.04-3.28, 8 Cu 3.06-3.16, 2 Ga 3.28

Output
The raw formation energy comes out at -0.535 eV/atom. As for the space-group type: P-4m2.



[5]
A relaxed CrCd2SiRh crystal, computed with PBE-GGA.

Lattice parameters (Å, degrees): 5.0129 4.4502 5.0129 90.00 90.00 90.00
Last column: nearest neighbours and their distance in Å.
Sites, in units of the cell vectors:
Cd: 0.0000 0.0000 0.5000  2 Cr 2.51
Cd: 0.5000 0.0000 0.0000  2 Cr 2.51
Si: 0.0000 0.5000 0.0000  2 Cr 2.23
Rh: 0.5000 0.5000 0.5000  8 Cd 3.35, 4 Si 3.54
Cr: 0.0000 0.0000 0.0000  2 Si 2.23

Output
The raw formation energy comes out at 1.030 eV/atom. As for the space-group type: P4/mmm.



[6]
A relaxed LiPuO3 crystal, computed with PBE-GGA.

Lattice parameters (Å, degrees): 4.2185 4.2185 4.2185 90.00 90.00 90.00
Last column: nearest neighbours and their distance in Å.
Sites, in units of the cell vectors:
Li: 0.5000 0.5000 0.5000  12 O 2.98
Pu: 0.0000 0.0000 0.0000  6 O 2.11
O: 0.0000 0.5000 0.0000  2 Pu 2.11
O: 0.5000 0.0000 0.0000  2 Pu 2.11
O: 0.0000 0.0000 0.5000  2 Pu 2.11

Output
The raw formation energy comes out at -2.388 eV/atom. As for the space-group type: Pm-3m.



[7]
A relaxed NaAcPm2Se4 crystal, computed with PBE-GGA.

Lattice parameters (Å, degrees): 4.2599 7.3498 7.5544 108.91 90.00 90.00
Last column: nearest neighbours and their distance in Å.
Sites, in units of the cell vectors:
Se: 0.5000 0.2607 0.2613  3 Pm 2.97-3.03, 1 Na 3.04, 2 Ac 3.11
Se: 0.5000 0.7393 0.7387  3 Pm 2.97-3.03, 1 Na 3.04, 2 Ac 3.11
Se: 0.0000 0.7502 0.2608  3 Pm 2.97-3.00, 2 Na 3.07, 1 Ac 3.10
Se: 0.0000 0.2498 0.7392  3 Pm 2.97-3.00, 2 Na 3.07, 1 Ac 3.10
Pm: 0.0000 0.5000 0.5000  6 Se 2.97
Pm: 0.5000 0.0000 0.5000  6 Se 3.00-3.03
Na: 0.5000 0.5000 0.0000  6 Se 3.04-3.07
Ac: 0.0000 0.0000 0.0000  6 Se 3.10-3.11

Output
The raw formation energy comes out at -1.777 eV/atom. As for the space-group type: P2/m.



[8]
A relaxed NaN4 crystal, computed with PBE-GGA.

Lattice parameters (Å, degrees): 4.4134 4.1016 9.6801 114.99 90.00 90.00
Last column: nearest neighbours and their distance in Å.
Sites, in units of the cell vectors:
N: 0.0002 0.8171 0.3169  1 N 1.14
N: 0.5002 0.3132 0.3134  1 N 1.14
N: 0.0002 0.6868 0.1866  1 N 1.14
N: 0.5002 0.1829 0.1831  1 N 1.14
N: 0.4998 0.8171 0.8169  1 N 1.14
N: 0.9998 0.1829 0.6831  1 N 1.14
N: 0.9998 0.3132 0.8134  1 N 1.14
N: 0.4998 0.6868 0.6866  1 N 1.14
Na: 0.5000 0.0000 0.5000  8 N 2.62-2.73
Na: 0.0000 0.0000 0.0000  8 N 2.62-2.73

Output
The raw formation energy comes out at -0.054 eV/atom. As for the space-group type: Immm. For the distance to the lowest polymorph of the same formula, the calculation gives 0 meV per atom.



[9]
A relaxed Sb2PHI crystal, computed with PBE-GGA.

Lattice parameters (Å, degrees): 5.1778 5.1778 5.9307 90.00 90.00 90.00
Last column: nearest neighbours and their distance in Å.
Sites, in units of the cell vectors:
Sb: 0.0000 0.5000 0.0000  2 P 2.59
Sb: 0.5000 0.0000 0.0000  2 P 2.59
I: 0.0000 0.0000 0.5000  2 P 2.97
H: 0.5000 0.5000 0.5000  4 I 3.66, 8 Sb 3.94
P: 0.0000 0.0000 0.0000  4 Sb 2.59

Output
As for the space-group type: P4/mmm. For the distance to the lowest polymorph of the same formula, the calculation gives 196 meV per atom.



[10]
A relaxed BaTaCd2 crystal, computed with PBE-GGA.

Lattice parameters (Å, degrees): 5.4056 5.4056 6.6964 83.55 83.55 33.90
Last column: nearest neighbours and their distance in Å.
Sites, in units of the cell vectors:
Cd: 0.9934 0.9934 0.0485  2 Ta 2.96, 5 Cd 3.15-3.22
Cd: 0.2490 0.2490 0.2820  3 Ta 2.93-3.00, 5 Cd 3.15-3.22
Ba: 0.7495 0.7495 0.7497  2 Ba 3.15, 5 Cd 3.40-3.51, 1 Ta 3.52
Ta: 0.5081 0.5081 0.4198  5 Cd 2.93-3.00, 2 Ta 3.15

Output
For the formation energy from the elements, the calculation gives 577 meV/atom. As for the space-group type: Cm. For the distance to the lowest polymorph of the same formula, the calculation gives 257 meV per atom.



[11]
A relaxed TePtWN2 crystal, computed with PBE-GGA.

Lattice parameters (Å, degrees): 3.8751 3.8751 5.9740 90.00 90.00 90.00
Last column: nearest neighbours and their distance in Å.
Sites, in units of the cell vectors:
Te: 0.0000 0.0000 0.5000  4 Pt 2.74, 2 W 2.99
Pt: 0.5000 0.5000 0.5000  4 Te 2.74
N: 0.0000 0.5000 0.0000  2 W 1.94
N: 0.5000 0.0000 0.0000  2 W 1.94
W: 0.0000 0.0000 0.0000  4 N 1.94

Output
The raw formation energy comes out at 0.543 eV/atom. As for the space-group type: P4/mmm. For the distance to the lowest polymorph of the same formula, the calculation gives 0 meV per atom.



[12]
A relaxed CeHoHg5 crystal, computed with PBE-GGA.

Lattice parameters (Å, degrees): 4.6501 4.6501 8.7857 90.00 90.01 90.22
Last column: nearest neighbours and their distance in Å.
Sites, in units of the cell vectors:
Hg: 0.0000 0.5000 0.7517  2 Ce 3.19, 6 Hg 3.21-3.29, 2 Ho 3.21
Hg: 0.0000 0.5000 0.2483  2 Ce 3.19, 6 Hg 3.21-3.29, 2 Ho 3.21
Hg: 0.5000 0.0000 0.7517  2 Ce 3.19, 6 Hg 3.21-3.29, 2 Ho 3.21
Hg: 0.0000 0.0000 0.5000  8 Hg 3.21, 4 Ho 3.28-3.29
Hg: 0.5000 0.0000 0.2483  2 Ce 3.19, 6 Hg 3.21-3.29, 2 Ho 3.21
Ho: 0.5000 0.5000 0.5000  12 Hg 3.21-3.29
Ce: 0.0000 0.0000 0.0000  8 Hg 3.19

Output
For the formation energy from the elements, the calculation gives -223 meV/atom. As for the space-group type: Cmmm.



DOS at the Fermi energy for the records above, in order: 1.307, 1.152, 1.341, 0.388, 0.938, 0.745, 0.331, 0.469, 0.851, 0.716, 0.986, 1.391 states/eV/atom
Total magnetization for the records above, in order: 0.0, 0.0, 0.0, 0.0, 3.9, 3.0, 0.0, 0.0, 0.8, 1.0, 0.0, 1.1 μB/cell